Computed, not measured: a relaxed Y2AlZn2In crystal at the GGA-PBE level of DFT.

The structure belongs to space group Cm (No. 8); the cell edges are 10.686, 4.577 and 7.175 Å and the angles 90.00°, 131.63° and 90.00°. The distinct sites, in fractional coordinates, are Y at (0.000, 0.000, 0.000), Y at (0.005, 0.000, 0.507), Al at (0.333, 0.000, 0.569), Zn at (0.159, 0.500, 0.878), Zn at (0.180, 0.500, 0.459) and In at (0.336, 0.000, 0.102).

The value obtained for the uncorrected energy is -4.1117 eV/atom. The offset from the most stable computed form comes out at 0 meV per atom.



Computed, not measured: a relaxed Zr2Al2In crystal at the GGA-PBE level of DFT.

The structure belongs to space group I4/mmm (No. 139); the cell edges are 4.401, 4.401 and 11.960 Å and the angles 90.00°, 90.00° and 90.00°. The distinct sites, in fractional coordinates, are Zr at (0.000, 0.500, 0.250), Al at (0.000, 0.000, 0.102) and In at (0.000, 0.000, 0.500).

The value obtained for the uncorrected energy is -5.3012 eV/atom. The offset from the most stable computed form comes out at 132 meV per atom.



Computed, not measured: a relaxed Zr2Al2In crystal at the GGA-PBE level of DFT.

The structure belongs to space group I4/mmm (No. 139); the cell edges are 3.935, 3.935 and 13.915 Å and the angles 90.00°, 90.00° and 90.00°. The distinct sites, in fractional coordinates, are Zr at (0.000, 0.000, 0.094), Al at (0.000, 0.500, 0.250) and In at (0.000, 0.000, 0.500).

The value obtained for the uncorrected energy is -5.4332 eV/atom. The offset from the most stable computed form comes out at 0 meV per atom.



Computed, not measured: a relaxed Zr2AlIn2 crystal at the GGA-PBE level of DFT.

The structure belongs to space group I4/mmm (No. 139); the cell edges are 4.066, 4.066 and 14.114 Å and the angles 90.00°, 90.00° and 90.00°. The distinct sites, in fractional coordinates, are Zr at (0.000, 0.000, 0.087), Al at (0.000, 0.000, 0.500) and In at (0.000, 0.500, 0.250).

The value obtained for the uncorrected energy is -5.0734 eV/atom.



Computed, not measured: a relaxed ZrAlIn crystal at the GGA-PBE level of DFT.

The structure belongs to space group F-43m (No. 216); the cell edges are 6.713, 6.713 and 6.713 Å and the angles 90.00°, 90.00° and 90.00°. The distinct sites, in fractional coordinates, are Zr at (0.000, 0.000, 0.000), Al at (0.250, 0.250, 0.750) and In at (0.250, 0.250, 0.250).

The value obtained for the uncorrected energy is -4.7604 eV/atom.



Computed, not measured: a relaxed ZrAlIn2 crystal at the GGA-PBE level of DFT.

The structure belongs to space group F-43m (No. 216); the cell edges are 7.089, 7.089 and 7.089 Å and the angles 90.00°, 90.00° and 90.00°. The distinct sites, in fractional coordinates, are Zr at (0.000, 0.000, 0.000), Al at (0.250, 0.250, 0.750), In at (0.000, 0.000, 0.500) and In at (0.250, 0.250, 0.250).

The value obtained for the uncorrected energy is -4.2418 eV/atom.



Computed, not measured: a relaxed AlIr crystal at the GGA-PBE level of DFT.

The structure belongs to space group Pm-3m (No. 221); the cell edges are 3.019, 3.019 and 3.019 Å and the angles 90.00°, 90.00° and 90.00°. The distinct sites, in fractional coordinates, are Al at (0.000, 0.000, 0.000) and Ir at (0.500, 0.500, 0.500).

The value obtained for the uncorrected energy is -7.2465 eV/atom.



Computed, not measured: a relaxed Al9Ir2 crystal at the GGA-PBE level of DFT.

The structure belongs to space group P2_1/c (No. 14); the cell edges are 6.400, 6.472 and 8.771 Å and the angles 90.00°, 94.99° and 90.00°. The distinct sites, in fractional coordinates, are Al at (0.000, 0.000, 0.000), Al at (0.098, 0.216, 0.728), Al at (0.212, 0.603, 0.039), Al at (0.389, 0.195, 0.998), Al at (0.400, 0.520, 0.770) and Ir at (0.264, 0.623, 0.331).

The value obtained for the uncorrected energy is -5.1940 eV/atom.